Below is a relaxed SrNiW2 crystal, with properties calculated at the PBE level.

Properties
As for the calculated density: 11.27 g/cm3. The calculation puts the density of states at the Fermi level at 0.8867 states/eV per atom. The raw total energy is -7.243 eV/atom. As for the space group: No. 139. For the energy above the most stable polymorph in this dataset, the calculation gives 530.5 meV per atom.

abc: 5.800 5.800 5.800
angles: 141.28 141.28 55.92
Fractional positions:
W 0.000 0.000 0.000
W 0.500 0.500 0.000
Ni 0.250 0.750 0.500
Sr 0.750 0.250 0.500

Below is a relaxed TaCu2Rh crystal, with properties calculated at the PBE level.

Properties
As for the calculated density: 12.23 g/cm3. The calculation puts the density of states at the Fermi level at 1.6308 states/eV per atom. The raw total energy is -6.840 eV/atom. As for the space group: No. 225.

abc: 4.290 4.290 4.290
angles: 60.00 60.00 60.00
Fractional positions:
Ta 0.500 0.500 0.500
Cu 0.250 0.250 0.250
Cu 0.750 0.750 0.750
Rh 0.000 0.000 0.000